Density functional theory data (PBE) for LiYSi2 after structural relaxation.

Lattice parameters (Å, degrees): 4.138 4.138 4.167 90.00 90.00 90.00
Space group P4/mmm (No. 123)
Unique sites:
Li 0.000 0.000 0.000 (multiplicity 1)
Y 0.500 0.500 0.000 (multiplicity 1)
Si 0.000 0.500 0.500 (multiplicity 2)

Summary:
total energy	-5.21	eV/atom
E_form (uncorrected)	-399	meV/atom
ΔE to the lowest computed polymorph	179.9	meV per atom